12
Lattice="3.135 0.000 0.000 -1.568 2.715 0.000 0.000 0.000 37.383" Properties=species:S:1:pos:R:3 comment="PBE-GGA HgTe2Mo, relaxed" spacegroup="R-3m (166)" e_tot_ev_per_atom=-3.779 formation_energy_uncorrected_ev_per_atom=0.58 pbc="T T T"
Hg 0.000 0.000 0.000
Hg 0.000 1.810 24.922
Hg 1.568 0.905 12.461
Te 0.000 0.000 15.982
Te 0.000 0.000 21.400
Te 0.000 1.810 3.522
Te 0.000 1.810 8.939
Te 1.568 0.905 28.443
Te 1.568 0.905 33.861
Mo 0.000 0.000 18.691
Mo 0.000 1.810 6.230
Mo 1.568 0.905 31.152


16
Lattice="6.777 0.000 0.000 0.000 6.777 0.000 0.000 0.000 12.335" Properties=species:S:1:pos:R:3 comment="PBE-GGA HgTe2Mo, relaxed" spacegroup="I-42d (122)" e_tot_ev_per_atom=-4.018 formation_energy_uncorrected_ev_per_atom=0.34 pbc="T T T"
Hg 0.000 0.000 0.000
Hg 0.000 3.389 3.084
Hg 3.389 0.000 9.251
Hg 3.389 3.389 6.167
Te 1.219 1.694 7.709
Te 1.694 4.608 10.793
Te 1.694 5.559 4.625
Te 2.170 1.694 1.542
Te 4.608 5.083 1.542
Te 5.083 1.219 4.625
Te 5.083 2.170 10.793
Te 5.559 5.083 7.709
Mo 0.000 0.000 6.167
Mo 0.000 3.389 9.251
Mo 3.389 0.000 3.084
Mo 3.389 3.389 0.000